4
Lattice="1.800 1.039 7.071 -1.800 1.039 7.071 0.000 -2.078 7.071" Properties=species:S:1:pos:R:3 comment="Pm2ClO, relaxed, DFT PBE" space_group="R-3m (166)" mass_density_g_cm3=7.1 energy_ev_per_atom=-6.07 raw_formation_energy_ev_per_atom=-1.99 pbc="T T T"
Pm 0.000 0.000 4.904
Pm 0.000 0.000 16.309
Cl 0.000 0.000 0.000
O 0.000 0.000 10.607

8
Lattice="4.037 0.000 0.000 0.000 4.037 0.000 0.000 0.000 9.330" Properties=species:S:1:pos:R:3 comment="Pm2PrClO4, relaxed, DFT PBE" space_group="P4/mmm (123)" mass_density_g_cm3=5.8 energy_ev_per_atom=-7.64 raw_formation_energy_ev_per_atom=-3.14 pbc="T T T"
Pm 0.000 0.000 2.199
Pm 0.000 0.000 7.131
Pr 2.019 2.019 4.665
Cl 2.019 2.019 0.000
O 0.000 2.019 3.185
O 0.000 2.019 6.145
O 2.019 0.000 3.185
O 2.019 0.000 6.145

8
Lattice="3.978 0.000 0.000 0.000 3.978 0.000 0.000 0.000 8.968" Properties=species:S:1:pos:R:3 comment="PmPu2ClO4, relaxed, DFT PBE" space_group="P4/mmm (123)" mass_density_g_cm3=8.6 energy_ev_per_atom=-9.79 raw_formation_energy_ev_per_atom=-2.91 pbc="T T T"
Pm 0.000 0.000 0.000
Pu 1.989 1.989 2.451
Pu 1.989 1.989 6.517
Cl 0.000 0.000 4.484
O 0.000 1.989 1.452
O 0.000 1.989 7.516
O 1.989 0.000 1.452
O 1.989 0.000 7.516

12
Lattice="6.178 -3.459 0.000 6.178 3.459 0.000 -1.032 0.000 5.426" Properties=species:S:1:pos:R:3 comment="Pm3PuCl2O6, relaxed, DFT PBE" space_group="C2/m (12)" mass_density_g_cm3=6.1 energy_ev_per_atom=-7.91 raw_formation_energy_ev_per_atom=-2.75 pbc="T T T"
Pm 0.000 0.000 0.000
Pm 2.573 1.730 2.713
Pm 2.573 -1.730 2.713
Pu 5.662 0.000 2.713
Cl 1.613 0.000 4.629
Cl 9.712 0.000 0.798
O 4.649 1.701 3.822
O 6.676 1.701 1.605
O 3.769 0.000 1.824
O 7.556 0.000 3.602
O 4.649 -1.701 3.822
O 6.676 -1.701 1.605

14
Lattice="6.133 -3.566 0.000 6.133 3.566 0.000 -2.403 0.000 6.223" Properties=species:S:1:pos:R:3 comment="PmPuClO4, relaxed, DFT PBE" space_group="C2/m (12)" mass_density_g_cm3=6.0 energy_ev_per_atom=-8.33 raw_formation_energy_ev_per_atom=-2.51 pbc="T T T"
Pm 2.374 0.000 0.461
Pm 7.490 0.000 5.762
Pu 2.711 0.000 4.796
Pu 7.153 0.000 1.427
Cl -0.261 0.000 1.592
Cl 10.124 0.000 4.631
O 1.214 1.368 5.013
O 2.909 0.000 2.955
O 4.976 0.000 0.536
O 1.214 -1.368 5.013
O 8.650 1.368 1.210
O 4.888 0.000 5.687
O 6.954 0.000 3.268
O 8.650 -1.368 1.210

14
Lattice="5.321 -3.640 0.000 5.321 3.640 0.000 -1.873 0.000 6.818" Properties=species:S:1:pos:R:3 comment="PmReClO4, relaxed, DFT PBE" space_group="C2/m (12)" mass_density_g_cm3=5.4 energy_ev_per_atom=-7.70 raw_formation_energy_ev_per_atom=-2.15 pbc="T T T"
Pm 2.135 0.000 0.691
Pm 6.634 0.000 6.127
Re 2.555 0.000 4.894
Re 6.214 0.000 1.923
Cl -1.345 0.000 5.224
Cl 10.114 0.000 1.594
O 1.594 1.285 5.827
O 2.193 0.000 3.176
O 4.518 0.000 1.469
O 1.594 -1.285 5.827
O 7.175 1.285 0.991
O 4.251 0.000 5.349
O 6.576 0.000 3.641
O 7.175 -1.285 0.991